Computed, not measured: crystalline NdGd2Mg3Ir2Pt at its relaxed geometry at the PBE-GGA level of DFT.

Results
Final energy = -49.23 eV/cell
Total magnetization = 0.02 Bohr magnetons per cell
Volume = 193 Å³/cell

Cell lengths 4.070, 7.405, 7.405 Å; angles 120.06, 90.00, 90.00 degrees
Sites, in units of the cell vectors:
Gd1 0.000 0.587 0.000
Gd2 0.000 0.000 0.587
Ir1 0.500 0.671 0.332
Ir2 0.500 0.332 0.671
Mg1 0.500 0.998 0.246
Mg2 0.500 0.756 0.756
Mg3 0.500 0.246 0.998
Nd1 0.000 0.415 0.415
Pt1 0.000 0.996 0.996